# Nd8Ga2Ir (PBE, relaxed)
# E (eV/atom): -5.05
# Calculated formation energy (eV/f.u.): -2.517
# Offset from the most stable computed form (meV per atom): 108
data_Nd8Ga2Ir
_chemical_formula_sum 'Nd16 Ga4 Ir2'
_cell_length_a 4.8658
_cell_length_b 8.8387
_cell_length_c 14.6571
_cell_angle_alpha 90.00
_cell_angle_beta 90.00
_cell_angle_gamma 90.00
_symmetry_space_group_name_H-M 'I m m m'
_symmetry_Int_Tables_number 71
_symmetry_space_group_name_Hall '-I 2 2'
loop_
_atom_site_label
_atom_site_type_symbol
_atom_site_fract_x
_atom_site_fract_y
_atom_site_fract_z
Nd1 Nd 0.0000 0.0000 0.1217
Nd2 Nd 0.0000 0.2225 0.3400
Nd3 Nd 0.0000 0.3289 0.0000
Ga1 Ga 0.0000 0.5000 0.1953
Ir1 Ir 0.0000 0.5000 0.5000